# Ti8Si2C3

Crystalline Ti8Si2C3 at its relaxed geometry (GGA-PBE, Alexandria via LeMat-Bulk).

Structure (CIF):
```
data_Ti8Si2C3
_symmetry_space_group_name_H-M 'C 1 2/m 1'
_symmetry_Int_Tables_number 12
_cell_length_a 12.105
_cell_length_b 6.220
_cell_length_c 5.507
_cell_angle_alpha 90.00
_cell_angle_beta 106.02
_cell_angle_gamma 90.00
loop_
_symmetry_equiv_pos_as_xyz
'x,y,z'
'-x,-y,-z'
'-x,y,-z'
'x,-y,z'
'x+1/2,y+1/2,z'
'-x+1/2,-y+1/2,-z'
'-x+1/2,y+1/2,-z'
'x+1/2,-y+1/2,z'
loop_
_atom_site_label
_atom_site_type_symbol
_atom_site_fract_x
_atom_site_fract_y
_atom_site_fract_z
Ti1 Ti 0.095 0.246 0.385
Ti2 Ti 0.096 0.500 0.916
Ti3 Ti 0.097 0.000 0.895
Si1 Si 0.245 0.500 0.669
C1 C 0.000 0.000 0.500
C2 C 0.000 0.242 0.000
```

Computed properties:
ρ = 3.960 g/cm³
energy relative to the elements, uncorrected = -459 meV/atom
energy = -8.28 eV per atom
density of states at the Fermi level = 21.314 states/eV/cell
total moment = 0.00 μB/cell